A plane-wave DFT calculation with GGA-PBE was carried out for crystalline Sc2BeTc at its relaxed geometry.

Geometry as CIF:
```
data_Sc2BeTc
_cell_length_a 3.9649
_cell_length_b 3.9649
_cell_length_c 11.0642
_cell_angle_alpha 90.00
_cell_angle_beta 90.00
_cell_angle_gamma 120.00
_symmetry_space_group_name_H-M 'P 63/m m c'
_symmetry_Int_Tables_number 194
_symmetry_space_group_name_Hall '-P 6c 2c'
loop_
_atom_site_label
_atom_site_fract_x
_atom_site_fract_y
_atom_site_fract_z
Sc1 0.3333 0.6667 0.1082
Be1 0.0000 0.0000 0.2500
Tc1 0.3333 0.6667 0.7500
```

Properties
Electronic total energy   -26.96 eV/f.u.